No. 1
Material: Pm3NdDy12
Method: DFT, PBE-GGA
State: relaxed

Calculated values
As for the space group: P4/mmm (123). For the total energy, the calculation gives -4.622 eV/atom. The calculation puts the formation energy from the elements at 0.019 eV per atom.

abc: 5.048 5.048 20.199
angles: 90.00 90.00 90.00
Atoms (fractional coordinates):
Pm: 0.000 0.000 0.250
Pm: 0.000 0.000 0.750
Pm: 0.000 0.000 0.500
Dy: 0.000 0.500 0.125
Dy: 0.500 0.500 0.250
Dy: 0.500 0.000 0.625
Dy: 0.500 0.500 0.000
Dy: 0.500 0.000 0.375
Dy: 0.000 0.500 0.875
Dy: 0.500 0.500 0.500
Dy: 0.500 0.500 0.750
Dy: 0.500 0.000 0.875
Dy: 0.000 0.500 0.625
Dy: 0.000 0.500 0.375
Dy: 0.500 0.000 0.125
Nd: 0.000 0.000 0.000



No. 2
Material: Li4NpPa3N8
Method: DFT, PBE-GGA
State: relaxed

Calculated values
The uncorrected formation energy is -1.183 eV per atom. As for the space group: R-3m (166). For the total energy, the calculation gives -8.413 eV/atom.

abc: 7.083 6.474 7.084
angles: 123.13 120.00 90.00
Site moments in Bohr magnetons follow the coordinates.
Atoms (fractional coordinates):
N: 0.735 0.704 0.469  0.00
N: 0.767 0.294 0.026  -0.04
N: 0.767 0.293 0.535  -0.04
N: 0.741 0.706 0.974  -0.04
N: 0.259 0.294 0.026  -0.04
N: 0.265 0.296 0.531  0.00
N: 0.233 0.706 0.974  -0.04
N: 0.233 0.707 0.465  -0.04
Li: 0.000 0.000 0.500  0.00
Li: 0.500 0.000 0.500  0.00
Li: 0.500 0.000 0.000  0.00
Li: 0.000 0.000 0.000  0.00
Pa: 0.500 0.500 0.000  0.02
Pa: 0.500 0.500 0.500  0.02
Pa: 0.000 0.500 0.500  0.02
Np: 0.000 0.500 0.000  2.22



No. 3
Material: LiAcOs2O8
Method: DFT, PBE-GGA
State: relaxed

Calculated values
The uncorrected formation energy is -1.526 eV per atom. As for the space group: I-4 (82). For the total energy, the calculation gives -7.205 eV/atom.

abc: 5.448 5.448 7.037
angles: 112.78 112.78 90.00
Site moments in Bohr magnetons follow the coordinates.
Atoms (fractional coordinates):
O: 0.096 0.986 0.665  0.15
O: 0.014 0.431 0.335  0.15
O: 0.321 0.904 0.335  0.15
O: 0.661 0.275 0.834  0.16
O: 0.725 0.827 0.166  0.16
O: 0.569 0.679 0.665  0.15
O: 0.441 0.339 0.166  0.16
O: 0.173 0.559 0.834  0.16
Ac: 0.000 0.000 0.000  0.06
Li: 0.750 0.250 0.500  0.01
Os: 0.500 0.500 0.000  1.12
Os: 0.250 0.750 0.500  1.10



No. 4
Material: Y2ZrMo
Method: DFT, PBE-GGA
State: relaxed

Calculated values
As for the space group: Imm2 (44). For the total energy, the calculation gives -7.903 eV/atom. For the excess energy over the best structure of this formula in the dataset, the calculation gives 51 meV per atom. The calculation puts the formation energy from the elements at 0.174 eV per atom.

abc: 6.082 6.082 5.352
angles: 63.92 63.92 34.52
Atoms (fractional coordinates):
Zr: 0.545 0.545 0.455
Y: 0.968 0.968 0.031
Y: 0.757 0.757 0.743
Mo: 0.230 0.230 0.271



No. 5
Material: Pm3TmSc2Se6
Method: DFT, PBE-GGA
State: relaxed

Calculated values
The uncorrected formation energy is -1.721 eV per atom. As for the space group: C2/m (12). For the total energy, the calculation gives -6.079 eV/atom.

abc: 6.968 6.968 7.165
angles: 99.32 99.32 120.25
Atoms (fractional coordinates):
Tm: 0.000 0.000 0.000
Sc: 0.333 0.667 0.000
Sc: 0.667 0.333 0.000
Se: 0.415 0.076 0.228
Se: 0.265 0.265 0.775
Se: 0.924 0.585 0.772
Se: 0.585 0.924 0.772
Se: 0.735 0.735 0.225
Se: 0.076 0.415 0.228
Pm: 0.164 0.836 0.500
Pm: 0.500 0.500 0.500
Pm: 0.836 0.164 0.500



No. 6
Material: TeMoI2
Method: DFT, PBE-GGA
State: relaxed

Calculated values
The uncorrected formation energy is 0.833 eV per atom. As for the space group: I-42d (122). For the total energy, the calculation gives -3.435 eV/atom. For the excess energy over the best structure of this formula in the dataset, the calculation gives 0 meV per atom.

abc: 7.632 7.632 7.319
angles: 58.57 58.57 90.00
Atoms (fractional coordinates):
I: 0.875 0.795 0.750
I: 0.545 0.125 0.250
I: 0.205 0.625 0.250
I: 0.375 0.455 0.750
Mo: 0.250 0.750 0.500
Mo: 0.500 0.500 0.000
Te: 0.000 0.000 0.000
Te: 0.750 0.250 0.500



No. 7
Material: FeSi2Au
Method: DFT, PBE-GGA
State: relaxed

Calculated values
The uncorrected formation energy is 0.235 eV per atom. As for the space group: I-4m2 (119). For the total energy, the calculation gives -5.412 eV/atom. For the excess energy over the best structure of this formula in the dataset, the calculation gives 315 meV per atom.

abc: 4.798 4.798 4.798
angles: 135.03 135.03 65.48
Atoms (fractional coordinates):
Si: 0.000 0.000 0.000
Si: 0.250 0.750 0.500
Au: 0.500 0.500 0.000
Fe: 0.750 0.250 0.500



No. 8
Material: Pr4CuPd
Method: DFT, PBE-GGA
State: relaxed

Calculated values
As for the space group: P2_1/c (14). For the total energy, the calculation gives -4.900 eV/atom. The calculation puts the formation energy from the elements at -0.166 eV per atom.

abc: 7.114 7.208 7.283
angles: 90.00 89.87 90.00
Atoms (fractional coordinates):
Pr: 0.836 0.159 0.338
Pr: 0.349 0.846 0.157
Pr: 0.151 0.346 0.843
Pr: 0.849 0.654 0.157
Pr: 0.164 0.841 0.662
Pr: 0.336 0.341 0.338
Pr: 0.651 0.154 0.843
Pr: 0.664 0.659 0.662
Cu: 0.000 0.500 0.500
Cu: 0.500 0.000 0.500
Pd: 0.500 0.500 0.000
Pd: 0.000 0.000 0.000